! PBE NdPbAu2, optimized geometry; values from VASP
! - symmetry = Fm-3m (225)
! - formation energy from the elements (kJ per mole of atoms) = -57.94
! - M_tot (μB/f.u.) = 0.000
&SYSTEM
  ibrav = 0, nat = 4, ntyp = 3
/
ATOMIC_SPECIES
Nd 144.24 Nd.upf
Pb 207.20 Pb.upf
Au 196.97 Au.upf
ATOMIC_POSITIONS crystal
Nd 0.0000 0.0000 0.0000
Pb 0.5000 0.5000 0.5000
Au 0.2500 0.2500 0.2500
Au 0.7500 0.7500 0.7500
CELL_PARAMETERS angstrom
0.0000 3.6382 3.6382
3.6382 0.0000 3.6382
3.6382 3.6382 0.0000